Entry from Alexandria: an optimized crystal structure of CaTlSbAu (PBE-GGA).

a = 4.774 Å, b = 4.774 Å, c = 6.022 Å
α = 90.00°, β = 90.00°, γ = 120.00°
Sites, in units of the cell vectors:
Tl: 0.000 0.000 0.852
Au: 0.333 0.667 0.630
Sb: 0.333 0.667 0.139
Ca: 0.667 0.333 0.402

* energy above the lowest structure with this stoichiometry: 37 meV per atom
* spin magnetization: 0.0000 μB/atom
* volume: 118.8 Å³ per cell
* raw formation energy: -419 meV/atom
* space-group type: P3m1 (156)